[1]
## BaPd3F (PBE-GGA)

Data for a geometry-optimized BaPd3F structure.

Summary:
E_form (uncorrected) (meV/atom): -313
SG: No. 221
M_tot (μB per formula unit): 0.000
Calculated volume (A^3/atom): 20.517
Energy (eV/atom): -4.1873

abc: 4.681 4.681 4.681
angles: 90.00 90.00 90.00
Element x y z (fractional)
Ba (0.000, 0.000, 0.000)
Pd (0.000, 0.500, 0.500)
Pd (0.500, 0.000, 0.500)
Pd (0.500, 0.500, 0.000)
F (0.500, 0.500, 0.500)


[2]
## BaPd3F (PBE-GGA)

Data for a geometry-optimized BaPd3F structure.

Summary:
E_form (uncorrected) (meV/atom): 769
SG: No. 221
M_tot (μB per formula unit): 0.000
Calculated volume (A^3/atom): 32.647
Energy (eV/atom): -3.1058

abc: 5.465 5.465 5.465
angles: 90.00 90.00 90.00
Element x y z (fractional)
Ba (0.000, 0.000, 0.000)
Pd (0.000, 0.000, 0.500)
Pd (0.000, 0.500, 0.000)
Pd (0.500, 0.000, 0.000)
F (0.500, 0.500, 0.500)


[3]
## BaPdF5 (PBE-GGA)

Data for a geometry-optimized BaPdF5 structure.

Summary:
E_form (uncorrected) (meV/atom): -2427
SG: No. 15
M_tot (μB per formula unit): 0.000
Calculated volume (A^3/atom): 15.930
Energy (eV/atom): -4.7797

abc: 5.436 5.436 8.972
angles: 109.45 109.45 66.48
Element x y z (fractional)
Ba (0.006, 0.994, 0.750)
Ba (0.994, 0.006, 0.250)
Pd (0.500, 0.500, 0.000)
Pd (0.500, 0.500, 0.500)
F (0.094, 0.682, 0.457)
F (0.130, 0.477, 0.883)
F (0.318, 0.906, 0.043)
F (0.477, 0.130, 0.383)
F (0.480, 0.520, 0.250)
F (0.520, 0.480, 0.750)
F (0.523, 0.870, 0.617)
F (0.682, 0.094, 0.957)
F (0.870, 0.523, 0.117)
F (0.906, 0.318, 0.543)


[4]
## RbBaPdF6 (PBE-GGA)

Data for a geometry-optimized RbBaPdF6 structure.

Summary:
E_form (uncorrected) (meV/atom): -2527
SG: No. 74
M_tot (μB per formula unit): 0.152
Calculated volume (A^3/atom): 20.110
Energy (eV/atom): -4.6732

abc: 7.838 7.838 7.838
angles: 115.44 114.18 99.26
Element x y z (fractional)
Rb (0.333, 0.083, 0.250)
Rb (0.667, 0.917, 0.750)
Ba (0.000, 0.500, 0.500)
Ba (0.500, 0.500, 0.000)
Pd (0.000, 0.000, 0.500)
Pd (0.000, 0.500, 0.000)
F (0.028, 0.328, 0.128)
F (0.028, 0.900, 0.700)
F (0.062, 0.312, 0.750)
F (0.300, 0.100, 0.628)
F (0.300, 0.672, 0.200)
F (0.391, 0.641, 0.750)
F (0.609, 0.359, 0.250)
F (0.700, 0.328, 0.800)
F (0.700, 0.900, 0.372)
F (0.938, 0.688, 0.250)
F (0.972, 0.100, 0.300)
F (0.972, 0.672, 0.872)


[5]
## Rb2BaPdF8 (PBE-GGA)

Data for a geometry-optimized Rb2BaPdF8 structure.

Summary:
E_form (uncorrected) (meV/atom): -2337
SG: No. 164
M_tot (μB per formula unit): 0.160
Calculated volume (A^3/atom): 18.008
Energy (eV/atom): -4.3388

abc: 5.737 5.737 7.580
angles: 90.00 90.00 120.00
Element x y z (fractional)
Rb (0.333, 0.667, 0.331)
Rb (0.667, 0.333, 0.669)
Ba (0.000, 0.000, 0.000)
Pd (0.000, 0.000, 0.500)
F (0.154, 0.308, 0.663)
F (0.154, 0.846, 0.663)
F (0.308, 0.154, 0.337)
F (0.333, 0.667, 0.989)
F (0.667, 0.333, 0.011)
F (0.692, 0.846, 0.663)
F (0.846, 0.154, 0.337)
F (0.846, 0.692, 0.337)


[6]
## Rb2BaPdF6 (PBE-GGA)

Data for a geometry-optimized Rb2BaPdF6 structure.

Summary:
E_form (uncorrected) (meV/atom): -2534
SG: No. 139
M_tot (μB per formula unit): 0.000
Calculated volume (A^3/atom): 23.074
Energy (eV/atom): -4.5619

abc: 7.234 7.234 7.234
angles: 127.57 127.57 77.32
Element x y z (fractional)
Rb (0.250, 0.750, 0.500)
Rb (0.750, 0.250, 0.500)
Ba (0.000, 0.000, 0.000)
Pd (0.500, 0.500, 0.000)
F (0.224, 0.224, 0.000)
F (0.280, 0.280, 0.559)
F (0.280, 0.720, 0.000)
F (0.720, 0.280, 0.000)
F (0.720, 0.720, 0.441)
F (0.776, 0.776, 0.000)


[7]
## BaPdSeF2 (PBE-GGA)

Data for a geometry-optimized BaPdSeF2 structure.

Summary:
E_form (uncorrected) (meV/atom): -1274
SG: No. 123
M_tot (μB per formula unit): 1.458
Calculated volume (A^3/atom): 33.212
Energy (eV/atom): -4.1429

abc: 4.716 4.716 7.466
angles: 90.00 90.00 90.00
Element x y z (fractional)
Ba (0.000, 0.000, 0.000)
Pd (0.000, 0.000, 0.500)
Se (0.500, 0.500, 0.500)
F (0.000, 0.500, 0.000)
F (0.500, 0.000, 0.000)


[8]
## BaSnPdF2 (PBE-GGA)

Data for a geometry-optimized BaSnPdF2 structure.

Summary:
E_form (uncorrected) (meV/atom): -1175
SG: No. 123
M_tot (μB per formula unit): 0.000
Calculated volume (A^3/atom): 33.239
Energy (eV/atom): -4.1471

abc: 4.477 4.477 8.291
angles: 90.00 90.00 90.00
Element x y z (fractional)
Ba (0.000, 0.000, 0.000)
Sn (0.000, 0.000, 0.500)
Pd (0.500, 0.500, 0.000)
F (0.000, 0.500, 0.500)
F (0.500, 0.000, 0.500)


[9]
## BaSrPdF6 (PBE-GGA)

Data for a geometry-optimized BaSrPdF6 structure.

Summary:
E_form (uncorrected) (meV/atom): -3012
SG: No. 41
M_tot (μB per formula unit): 0.066
Calculated volume (A^3/atom): 17.608
Energy (eV/atom): -5.2367

abc: 6.077 9.090 9.090
angles: 39.13 90.00 90.00
Element x y z (fractional)
Ba (0.000, 0.000, 0.000)
Ba (0.500, 0.500, 0.500)
Sr (0.000, 0.676, 0.676)
Sr (0.500, 0.176, 0.176)
Pd (0.000, 0.332, 0.332)
Pd (0.500, 0.832, 0.832)
F (0.161, 0.578, 0.256)
F (0.165, 0.413, 0.085)
F (0.249, 0.852, 0.335)
F (0.251, 0.352, 0.835)
F (0.335, 0.913, 0.585)
F (0.339, 0.078, 0.756)
F (0.661, 0.756, 0.078)
F (0.665, 0.585, 0.913)
F (0.749, 0.835, 0.352)
F (0.751, 0.335, 0.852)
F (0.835, 0.085, 0.413)
F (0.839, 0.256, 0.578)